VASP calculation (PBE-GGA) on a geometry-optimized CeHfIr4 structure.

Lattice parameters (Å, degrees): 5.3207 5.3207 5.3207 60.00 60.00 60.00
Last column: nearest neighbours and their distance in Å.
Fractional coordinates of all 6 atoms:
Ce: 0.0000 0.0000 0.0000  12 Ir 3.12, 4 Hf 3.26
Hf: 0.7500 0.7500 0.7500  12 Ir 3.12, 4 Ce 3.26
Ir: 0.3753 0.3753 0.3753  6 Ir 2.65-2.67
Ir: 0.3753 0.3753 0.8740  6 Ir 2.65-2.67
Ir: 0.3753 0.8740 0.3753  6 Ir 2.65-2.67
Ir: 0.8740 0.3753 0.3753  6 Ir 2.65-2.67

Results
- Total magnetic moment: 0.00 μB per formula unit
- Energy relative to the elements: -0.66 eV/atom
- E_tot: -0.3387 hartree per atom